Computed, not measured: a relaxed structure of CdGa2OsO8 at the PBE level of DFT.

Computed properties:
The density of states at the Fermi level comes out at 1.40 states/eV per cell. Its space group is P2/m (10). For the formation energy from raw total energies, the calculation gives -1160.8 meV/atom.

Cell: 4.660 6.393 4.665 Å, 90.00 91.00 90.00°
Fractional positions:
Cd 0.000 0.000 0.000
Ga 0.500 0.243 0.500
Ga 0.500 0.757 0.500
Os 0.000 0.500 0.000
O 0.200 0.295 0.802
O 0.200 0.705 0.802
O 0.296 0.500 0.297
O 0.318 0.000 0.320
O 0.682 0.000 0.680
O 0.704 0.500 0.703
O 0.800 0.295 0.198
O 0.800 0.705 0.198